# 1
VASP calculation (PBE) on a relaxed structure of AcTeO.

a b c (Å): 4.1620 4.1620 10.8161
angles (deg): 90.00 90.00 120.00
Space group P-3m1 (No. 164)
Inequivalent atoms, fractional coordinates:
Ac (0.3333, 0.6667, 0.3482) [2 per cell]
Te (0.3333, 0.6667, 0.8921) [2 per cell]
O (0.3333, 0.6667, 0.5818) [2 per cell]

Results
DOS at the Fermi energy	2.6	states/eV/f.u.
excess energy over the best structure of this formula in the dataset	351	meV/atom

***

# 2
VASP calculation (PBE) on a relaxed structure of AcTeO4.

a b c (Å): 5.767 5.607 5.789
angles (deg): 90.00 98.38 90.00
Space group P2_1/c (No. 14)
Inequivalent atoms, fractional coordinates:
Ac (0.000, 0.000, 0.000) [2 per cell]
Te (0.500, 0.000, 0.500) [2 per cell]
O (0.185, 0.139, 0.397) [4 per cell]
O (0.366, 0.716, 0.260) [4 per cell]

Results
DOS at the Fermi energy	1.5	states/eV/f.u.
excess energy over the best structure of this formula in the dataset	0	meV/atom

***

# 3
VASP calculation (PBE) on a relaxed structure of AcTeO5.

a b c (Å): 7.579 7.579 7.333
angles (deg): 90.00 90.00 90.00
Space group Imma (No. 74)
Inequivalent atoms, fractional coordinates:
Ac (0.000, 0.250, 0.035) [4 per cell]
Te (0.000, 0.000, 0.500) [4 per cell]
O (0.000, 0.052, 0.755) [8 per cell]
O (0.000, 0.250, 0.409) [4 per cell]
O (0.247, 0.000, 0.000) [8 per cell]

Results
DOS at the Fermi energy	1.7	states/eV/f.u.
excess energy over the best structure of this formula in the dataset	4	meV/atom

***

# 4
VASP calculation (PBE) on a relaxed structure of Ac2TeO5.

a b c (Å): 5.857 5.857 7.497
angles (deg): 90.00 90.00 90.00
Space group I4mm (No. 107)
Inequivalent atoms, fractional coordinates:
Ac (0.000, 0.500, 0.000) [4 per cell]
Te (0.000, 0.000, 0.255) [2 per cell]
O (0.000, 0.000, 0.000) [2 per cell]
O (0.246, 0.246, 0.230) [8 per cell]

Results
DOS at the Fermi energy	0.0	states/eV/f.u.
excess energy over the best structure of this formula in the dataset	249	meV/atom

***

# 5
VASP calculation (PBE) on a relaxed structure of AcTeO.

a b c (Å): 8.542 4.539 8.808
angles (deg): 90.00 98.30 90.00
Space group P2_1/m (No. 11)
Inequivalent atoms, fractional coordinates:
Ac (0.133, 0.250, 0.153) [2 per cell]
Ac (0.141, 0.250, 0.640) [2 per cell]
Te (0.322, 0.750, 0.419) [2 per cell]
Te (0.457, 0.750, 0.146) [2 per cell]
O (0.023, 0.250, 0.880) [2 per cell]
O (0.028, 0.750, 0.630) [2 per cell]

Results
excess energy over the best structure of this formula in the dataset	0	meV/atom

***

# 6
VASP calculation (PBE) on a relaxed structure of Ac2Te2O.

a b c (Å): 7.070 13.476 6.555
angles (deg): 90.00 90.00 90.00
Space group Ibam (No. 72)
Inequivalent atoms, fractional coordinates:
Ac (0.189, 0.100, 0.000) [8 per cell]
Te (0.174, 0.353, 0.000) [8 per cell]
O (0.000, 0.000, 0.250) [4 per cell]

Results
excess energy over the best structure of this formula in the dataset	0	meV/atom

***

# 7
VASP calculation (PBE) on a relaxed structure of AcTeO5.

a b c (Å): 9.513 6.910 7.971
angles (deg): 90.00 114.44 90.00
Space group C2/c (No. 15)
Inequivalent atoms, fractional coordinates:
Ac (0.000, 0.042, 0.250) [4 per cell]
Te (0.000, 0.500, 0.000) [4 per cell]
O (0.000, 0.429, 0.250) [4 per cell]
O (0.008, 0.224, 0.970) [8 per cell]
O (0.218, 0.488, 0.609) [8 per cell]

Results
DOS at the Fermi energy	2.4	states/eV/f.u.
excess energy over the best structure of this formula in the dataset	0	meV/atom

***

# 8
VASP calculation (PBE) on a relaxed structure of Ac12Te3O5.

a b c (Å): 17.274 17.274 17.274
angles (deg): 90.00 90.00 90.00
Space group Ia-3d (No. 230)
Inequivalent atoms, fractional coordinates:
Ac (0.040, 0.050, 0.649) [96 per cell]
Te (0.000, 0.250, 0.125) [24 per cell]
O (0.000, 0.000, 0.000) [16 per cell]
O (0.000, 0.250, 0.375) [24 per cell]

Results
DOS at the Fermi energy	18.8	states/eV/f.u.

***

Computed values of formation energy (no corrections) (unit: eV per atom) for the preceding records, in sequence: -2.009, -1.968, -1.723, -2.321, -2.360, -2.266, -1.726, -1.634.
Computed values of calculated volume (unit: Å³ per atom) for the preceding records, in sequence: 27.0, 15.4, 15.0, 16.1, 28.2, 31.2, 17.0, 32.2.